Record 1
Computed, not measured: an optimized crystal structure of Ba2LaNbCu2O8 at the PBEsol level of DFT.

total DFT energy (no corrections) = -7.4161 eV per atom
magnetic moment = 0.00 μB/atom
SG = I4/mcm

The structure in extended XYZ format:
```
28
Lattice="5.5699 0.0000 0.0000 0.0000 5.5699 0.0000 -2.7849 -2.7849 12.0761" Properties=species:S:1:pos:R:3 pbc="T T T"
O 1.3971 -1.3879 7.5924
O 0.0000 0.0000 1.9810
O 1.3879 4.1728 4.4837
Cu 2.7849 2.7849 4.3066
Nb 0.0000 0.0000 0.0000
O 2.7849 2.7849 1.9810
Cu 0.0000 0.0000 7.7695
O 1.3879 1.3971 7.5924
O 3.8886 1.1036 0.0000
Ba 2.7849 0.0000 9.7007
O -1.3879 -1.3971 7.5924
O 0.0000 0.0000 10.0951
O 4.1820 1.3971 4.4837
O 2.7849 2.7849 10.0951
La 0.0000 2.7849 6.0381
Ba 0.0000 2.7849 9.7007
O 1.3971 1.3879 4.4837
La 2.7849 0.0000 6.0381
Ba 0.0000 2.7850 2.3754
O 1.1036 1.6813 0.0000
Nb 2.7849 2.7849 0.0000
O 4.4663 3.8886 0.0000
O 1.6813 4.4663 0.0000
Ba 2.7850 0.0000 2.3754
O 4.1728 4.1820 4.4837
Cu 0.0000 0.0000 4.3066
Cu 2.7849 2.7849 7.7695
O -1.3971 1.3879 7.5924
```

=====

Record 2
Computed, not measured: an optimized crystal structure of La5Sb at the PBEsol level of DFT.

total DFT energy (no corrections) = -5.5482 eV per atom
magnetic moment = 0.00 μB/atom
energy above the most stable polymorph in this dataset = 58 meV per atom
SG = P-62m

The structure in extended XYZ format:
```
6
Lattice="5.8423 0.0000 0.0000 0.0000 6.0960 0.0000 0.0000 -3.0480 5.2793" Properties=species:S:1:pos:R:3 pbc="T T T"
La 0.0000 4.2603 0.0000
La 0.0000 -2.1302 3.6896
La 2.9211 0.0000 3.5196
La 0.0000 0.9179 1.5898
Sb 2.9211 0.0000 0.0000
La 2.9211 3.0480 1.7598
```

=====

Record 3
Computed, not measured: an optimized crystal structure of MnFe2W at the PBEsol level of DFT.

total DFT energy (no corrections) = -10.2865 eV per atom
magnetic moment = 1.19 μB/atom
energy above the most stable polymorph in this dataset = 29 meV per atom
SG = Pmmm

The structure in extended XYZ format:
```
4
Lattice="-1.9705 2.2040 -0.5888 -0.8236 0.2938 3.8564 2.9273 2.7286 0.4173" Properties=species:S:1:pos:R:3 pbc="T T T"
Fe -1.3970 1.2489 1.6338
Fe 0.0000 0.0000 0.0000
W 1.0519 1.5112 2.1368
Mn 0.4784 2.4663 -0.0857
```

=====

Record 4
Computed, not measured: an optimized crystal structure of LiSi2 at the PBEsol level of DFT.

total DFT energy (no corrections) = -4.4430 eV per atom
magnetic moment = 0.00 μB/atom
SG = P-3m1

The structure in extended XYZ format:
```
3
Lattice="3.7912 0.0000 0.0000 -1.8956 3.2833 0.0000 0.0000 0.0000 4.2914" Properties=species:S:1:pos:R:3 pbc="T T T"
Si 0.0000 2.1889 1.7467
Si 1.8956 1.0944 2.5447
Li 0.0000 0.0000 0.0000
```

=====

Record 5
Computed, not measured: an optimized crystal structure of ErH3O3 at the PBEsol level of DFT.

total DFT energy (no corrections) = -6.3700 eV per atom
magnetic moment = 0.00 μB/atom
SG = P6_3/m

The structure in extended XYZ format:
```
14
Lattice="3.4392 0.0000 0.0000 0.0000 6.1721 0.0000 0.0000 -3.0861 5.3452" Properties=species:S:1:pos:R:3 pbc="T T T"
Er 2.5794 3.0861 1.7817
O 2.5794 -1.6080 3.6860
H 2.5794 1.8258 4.5484
H 0.8598 1.2603 0.7968
Er 0.8598 0.0000 3.5635
H 2.5794 -1.7659 4.6522
O 2.5794 0.6979 2.1097
H 2.5794 -0.0599 1.4898
O 0.8598 4.6941 1.6593
H 0.8598 3.1460 3.8554
O 0.8598 2.3881 3.2355
O 0.8598 2.1760 0.4504
H 0.8598 4.8519 0.6930
O 2.5794 0.9101 4.8948
```

=====

Record 6
Computed, not measured: an optimized crystal structure of Li3Ti2V2O8 at the PBEsol level of DFT.

total DFT energy (no corrections) = -8.1074 eV per atom
magnetic moment = 0.21 μB/atom
SG = C2/m

The structure in extended XYZ format:
```
15
Lattice="5.8604 0.0000 0.0000 2.9302 5.0387 0.0263 2.9302 1.6700 4.6961" Properties=species:S:1:pos:R:3 pbc="T T T"
O 7.2258 2.5390 3.5772
Li 0.0000 0.0000 0.0000
Ti 4.3953 2.5194 0.0132
V 2.9302 0.0000 0.0000
O 8.7906 5.0430 3.6486
O 2.9302 1.6658 1.0737
O 4.4950 2.5390 3.5772
O 5.8604 1.7264 1.1460
Li 4.3953 0.8350 2.3480
Ti 1.4651 2.5194 0.0132
O 4.4950 4.1698 1.1452
V 5.8604 3.3544 2.3612
Li 1.4651 0.8350 2.3480
O 7.2258 4.1698 1.1452
O 5.8604 4.9823 3.5763
```

=====

Question: Which formula does entry 2 have?
Answer: La5Sb

=====

Question: Which of these has the highest magnetic moment?
Answer: MnFe2W

=====

Question: Look up the total DFT energy (no corrections) of the first one.
Answer: -7.4161 eV per atom